BaCeWO6 | GGA+U | relaxed

Summary:
As for the crystal system: trigonal. The symmetry is P-31c, No. 163. The final energy is -7.7352 eV/atom.

Unit cell a=5.730 b=5.730 c=11.144 alpha=90.00 beta=90.00 gamma=120.00
Fractional positions:
Ba 0.000 0.000 0.000
Ba 0.000 0.000 0.500
Ce 0.333 0.667 0.250
Ce 0.667 0.333 0.750
W 0.333 0.667 0.750
W 0.667 0.333 0.250
O 0.037 0.399 0.651
O 0.037 0.639 0.849
O 0.361 0.399 0.849
O 0.361 0.963 0.651
O 0.399 0.037 0.151
O 0.399 0.361 0.349
O 0.601 0.639 0.651
O 0.601 0.963 0.849
O 0.639 0.037 0.349
O 0.639 0.601 0.151
O 0.963 0.361 0.151
O 0.963 0.601 0.349